# 1
First-principles (PBE-GGA) data for an optimized crystal structure of Li6TbMg8, as listed in the Alexandria database.

Computed properties:
Formation energy from the elements: 0.060 eV/atom
D(E_F): 0.3062 states/eV/atom

a = 8.235 Å, b = 8.235 Å, c = 7.587 Å
α = 57.13°, β = 57.13°, γ = 60.00°
Fractional coordinates of all 15 atoms:
Mg1 0.241 0.241 0.276
Li1 0.621 0.880 0.117
Tb1 0.000 0.000 0.000
Li2 0.618 0.379 0.883
Mg2 0.583 0.173 0.385
Mg3 0.173 0.859 0.385
Mg4 0.827 0.141 0.615
Mg5 0.859 0.583 0.385
Mg6 0.141 0.417 0.615
Mg7 0.759 0.759 0.724
Li3 0.120 0.618 0.883
Li4 0.880 0.382 0.117
Mg8 0.417 0.827 0.615
Li5 0.382 0.621 0.117
Li6 0.379 0.120 0.883

# 2
First-principles (PBE-GGA) data for an optimized crystal structure of Li5TbMg7, as listed in the Alexandria database.

Computed properties:
Formation energy from the elements: -0.030 eV/atom
D(E_F): 0.6773 states/eV/atom

a = 5.415 Å, b = 7.728 Å, c = 7.728 Å
α = 82.57°, β = 69.49°, γ = 69.49°
Fractional coordinates of all 13 atoms:
Li1 0.500 0.998 0.502
Li2 0.999 0.998 0.502
Mg1 0.000 0.350 0.649
Tb1 0.997 0.003 0.003
Li3 0.999 0.502 0.998
Li4 0.500 0.502 0.998
Mg2 0.000 0.649 0.350
Mg3 0.648 0.352 0.352
Li5 0.716 0.784 0.784
Mg4 0.501 0.792 0.205
Mg5 0.349 0.651 0.651
Mg6 0.501 0.205 0.792
Mg7 0.287 0.213 0.213

# 3
First-principles (PBE-GGA) data for an optimized crystal structure of Li2TbMg3, as listed in the Alexandria database.

Computed properties:
Formation energy from the elements: -0.050 eV/atom
D(E_F): 0.7497 states/eV/atom
Energy above the lowest structure with this stoichiometry: 0 meV per atom

a = 3.486 Å, b = 3.486 Å, c = 11.306 Å
α = 90.00°, β = 90.00°, γ = 90.00°
Fractional coordinates of all 6 atoms:
Li1 0.500 0.500 0.847
Mg1 0.000 0.000 0.298
Mg2 0.000 0.000 0.702
Tb1 0.500 0.500 0.500
Mg3 0.000 0.000 0.000
Li2 0.500 0.500 0.153

# 4
First-principles (PBE-GGA) data for an optimized crystal structure of LiTbMg3, as listed in the Alexandria database.

Computed properties:
Formation energy from the elements: 0.119 eV/atom
D(E_F): 0.5441 states/eV/atom
Energy above the lowest structure with this stoichiometry: 134 meV per atom

a = 4.906 Å, b = 4.906 Å, c = 4.906 Å
α = 90.00°, β = 90.00°, γ = 90.00°
Fractional coordinates of all 5 atoms:
Mg1 0.000 0.500 0.000
Mg2 0.000 0.000 0.500
Tb1 0.500 0.500 0.500
Mg3 0.500 0.000 0.000
Li1 0.000 0.000 0.000

# 5
First-principles (PBE-GGA) data for an optimized crystal structure of Li2TbMg, as listed in the Alexandria database.

Computed properties:
Formation energy from the elements: 0.070 eV/atom
D(E_F): 1.4809 states/eV/atom
Energy above the lowest structure with this stoichiometry: 6 meV per atom

a = 5.040 Å, b = 5.040 Å, c = 5.040 Å
α = 60.00°, β = 60.00°, γ = 60.00°
Fractional coordinates of all 4 atoms:
Tb1 0.000 0.000 0.000
Li1 0.250 0.250 0.250
Mg1 0.500 0.500 0.500
Li2 0.750 0.750 0.750

# 6
First-principles (PBE-GGA) data for an optimized crystal structure of LiTb3Mg12, as listed in the Alexandria database.

Computed properties:
Formation energy from the elements: -0.056 eV/atom
D(E_F): 0.5994 states/eV/atom

a = 4.647 Å, b = 4.647 Å, c = 18.292 Å
α = 90.00°, β = 90.00°, γ = 90.00°
Fractional coordinates of all 16 atoms:
Mg1 0.500 0.500 0.500
Mg2 0.500 0.500 0.237
Mg3 0.500 0.000 0.630
Mg4 0.000 0.500 0.630
Mg5 0.500 0.500 0.763
Mg6 0.500 0.000 0.113
Tb1 0.000 0.000 0.500
Tb2 0.000 0.000 0.760
Tb3 0.000 0.000 0.240
Mg7 0.500 0.000 0.887
Li1 0.000 0.000 0.000
Mg8 0.500 0.500 0.000
Mg9 0.500 0.000 0.370
Mg10 0.000 0.500 0.887
Mg11 0.000 0.500 0.370
Mg12 0.000 0.500 0.113

# 7
First-principles (PBE-GGA) data for an optimized crystal structure of Li8TbMg3, as listed in the Alexandria database.

Computed properties:
Formation energy from the elements: 0.018 eV/atom
D(E_F): 0.7108 states/eV/atom

a = 5.617 Å, b = 5.617 Å, c = 9.112 Å
α = 90.00°, β = 90.00°, γ = 120.00°
Fractional coordinates of all 12 atoms:
Tb1 0.000 0.000 0.563
Li1 0.333 0.667 0.500
Mg1 0.667 0.333 0.433
Li2 0.333 0.667 0.991
Li3 0.164 0.836 0.244
Li4 0.673 0.836 0.244
Li5 0.506 0.494 0.758
Li6 0.988 0.494 0.758
Mg2 0.000 0.000 0.940
Li7 0.506 0.012 0.758
Mg3 0.667 0.333 0.067
Li8 0.164 0.327 0.244

# 8
First-principles (PBE-GGA) data for an optimized crystal structure of LiTb2Mg7, as listed in the Alexandria database.

Computed properties:
Formation energy from the elements: 0.242 eV/atom
D(E_F): 0.5388 states/eV/atom

a = 7.111 Å, b = 7.111 Å, c = 7.111 Å
α = 60.00°, β = 60.00°, γ = 60.00°
Fractional coordinates of all 10 atoms:
Mg1 0.238 0.238 0.762
Mg2 0.762 0.762 0.238
Tb1 0.750 0.750 0.750
Tb2 0.250 0.250 0.250
Mg3 0.238 0.762 0.238
Li1 0.000 0.000 0.000
Mg4 0.500 0.500 0.500
Mg5 0.762 0.238 0.238
Mg6 0.762 0.238 0.762
Mg7 0.238 0.762 0.762